No. 1
# RbGa2Ge

An optimized crystal structure of RbGa2Ge (PBE, Alexandria via LeMat-Bulk).

Cell lengths 7.9272, 5.1601, 15.1670 Å; angles 90.00, 121.34, 90.00 degrees
Space group P2_1/c (No. 14)
Unique sites:
Rb 0.2494 0.2499 0.2500 x4
Ga 0.0514 0.7202 0.0519 x4
Ga 0.4482 0.7202 0.9481 x4
Ge 0.2504 0.9999 0.0004 x4

Summary:
E_form   0.013 eV/atom
Total energy   -11.59 eV per formula unit

No. 2
# PmMnS2

An optimized crystal structure of PmMnS2 (PBE, Alexandria via LeMat-Bulk).

Cell lengths 3.6935, 3.6935, 24.1246 Å; angles 90.00, 90.00, 120.00 degrees
Space group R-3m (No. 166, hexagonal axes)
Unique sites:
Pm 0.0000 0.0000 0.0000 x3
Mn 0.0000 0.0000 0.5000 x3
S 0.0000 0.0000 0.1129 x6

Summary:
Raw formation energy   -0.6365 eV per atom
Total energy   -24.72 eV per formula unit